TbYNi8B2: relaxed, PBE-GGA.

For the total energy, the calculation gives -74.83 eV per cell. As for the volume: 12.58 Å³ per atom. Its total magnetic moment is 0.0 μB per cell.

The space group is P6/mmm (No. 191) and the conventional cell measures 4.9980, 4.9980 and 6.9770 Å, with angles of 90.00, 90.00 and 120.00 degrees. The asymmetric unit holds Tb at (0.0000, 0.0000, 0.0000), Y at (0.0000, 0.0000, 0.5000), Ni at (0.0000, 0.5000, 0.2923), Ni at (0.3333, 0.6667, 0.0000) and B at (0.3333, 0.6667, 0.5000).